# TaTlNiAu | OQMD | PBE | optimized geometry
data_TaTlNiAu
_chemical_formula_sum 'Ta4 Tl4 Ni4 Au4'
_cell_length_a 6.518
_cell_length_b 6.518
_cell_length_c 6.518
_cell_angle_alpha 90.00
_cell_angle_beta 90.00
_cell_angle_gamma 90.00
_space_group_name_H-M_alt 'F -4 3 m'
_space_group_IT_number 216
_space_group_name_Hall 'F -4 2 3'
loop_
_atom_site_label
_atom_site_type_symbol
_atom_site_fract_x
_atom_site_fract_y
_atom_site_fract_z
_atom_site_occupancy
Ta1 Ta 0.000 0.000 0.000 1
Tl1 Tl 0.250 0.250 0.250 1
Ni1 Ni 0.000 0.000 0.500 1
Au1 Au 0.250 0.250 0.750 1
# magnetization = 0.01 μB/f.u.
# crystal system = cubic
# calculated volume = 17.31 Å³ per atom
# total DFT energy (no corrections) = -5.39 eV/atom


# Tb2NiAu | OQMD | PBE | optimized geometry
data_Tb2NiAu
_chemical_formula_sum 'Tb4 Ni2 Au2'
_cell_length_a 4.487
_cell_length_b 3.817
_cell_length_c 10.495
_cell_angle_alpha 90.00
_cell_angle_beta 90.00
_cell_angle_gamma 90.00
_space_group_name_H-M_alt 'A m m 2'
_space_group_IT_number 38
loop_
_space_group_symop_operation_xyz
'x,y,z'
'-x,-y,z'
'-x,y,z'
'x,-y,z'
'x,y+1/2,z+1/2'
'-x,-y+1/2,z+1/2'
'-x,y+1/2,z+1/2'
'x,-y+1/2,z+1/2'
loop_
_atom_site_label
_atom_site_type_symbol
_atom_site_fract_x
_atom_site_fract_y
_atom_site_fract_z
_atom_site_occupancy
Tb1 Tb 0.000 0.000 0.000 1
Tb2 Tb 0.500 0.000 0.281 1
Ni1 Ni 0.000 0.000 0.724 1
Au1 Au 0.500 0.000 0.564 1
# magnetization = 0.00 μB/f.u.
# crystal system = orthorhombic
# energy of formation = -2.55 eV/f.u.
# calculated volume = 22.47 Å³ per atom


# Tb2TlNiAu | OQMD | PBE | optimized geometry
data_Tb2TlNiAu
_chemical_formula_sum 'Tb4 Tl2 Ni2 Au2'
_cell_length_a 3.702
_cell_length_b 4.130
_cell_length_c 14.909
_cell_angle_alpha 90.00
_cell_angle_beta 90.00
_cell_angle_gamma 90.00
_space_group_name_H-M_alt 'A m m 2'
_space_group_IT_number 38
loop_
_space_group_symop_operation_xyz
'x,y,z'
'-x,-y,z'
'-x,y,z'
'x,-y,z'
'x,y+1/2,z+1/2'
'-x,-y+1/2,z+1/2'
'-x,y+1/2,z+1/2'
'x,-y+1/2,z+1/2'
loop_
_atom_site_label
_atom_site_type_symbol
_atom_site_fract_x
_atom_site_fract_y
_atom_site_fract_z
_atom_site_occupancy
Tb1 Tb 0.000 0.000 0.000 1
Tb2 Tb 0.000 0.000 0.265 1
Tl1 Tl 0.500 0.000 0.638 1
Ni1 Ni 0.500 0.000 0.823 1
Au1 Au 0.500 0.000 0.431 1
# magnetization = 0.00 μB/f.u.
# crystal system = orthorhombic
# calculated volume = 22.80 Å³ per atom
# total DFT energy (no corrections) = -4.66 eV/atom